Computed, not measured: crystalline ZnMo3 at its relaxed geometry at the GGA-PBEsol level of DFT.

Summary:
**Symmetry**: Cmmm
**Crystal system**: orthorhombic
**Electronic total energy**: -9.14 eV per atom
**Excess energy over the best structure of this formula in the dataset**: 0.054 eV/atom
**Density of states at the Fermi level**: 2.140 states/eV per cell
**Energy of formation**: 0.09 eV per atom
**V**: 14.9 Å³ per atom

Cell lengths 2.6772, 2.6772, 8.7290 Å; angles 90.00, 90.00, 107.25 degrees
With the nearest neighbours (Å) after each atom.
Fractional coordinates of all 4 atoms:
Mo (0.0000, 0.0000, 0.2509)  6 Mo 2.68-2.71, 2 Zn 2.69
Mo (0.0000, 0.0000, 0.7491)  6 Mo 2.68-2.71, 2 Zn 2.69
Mo (0.5000, 0.5000, 0.0000)  8 Mo 2.68-2.71
Zn (0.5000, 0.5000, 0.5000)  4 Zn 2.68, 4 Mo 2.69